<1>
Here is an optimized crystal structure of RbOsRh2 from Alexandria. Energies are from GGA-PBE.

Computed properties:
DOS at the Fermi energy ... 6.663 states/eV per cell
Space group ... No. 225
Total magnetization ... 0.37 μB/atom

Cell: 4.6547 4.6547 4.6547 Å, 60.00 60.00 60.00°
With the nearest neighbours (Å) after each atom.
Sites, in units of the cell vectors:
Rb 0.0000 0.0000 0.0000  8 Rh 2.85
Os 0.5000 0.5000 0.5000  8 Rh 2.85
Rh 0.2500 0.2500 0.2500  4 Os 2.85, 4 Rb 2.85
Rh 0.7500 0.7500 0.7500  4 Os 2.85, 4 Rb 2.85

<2>
Here is an optimized crystal structure of RbOsRh2 from Alexandria. Energies are from GGA-PBE.

Computed properties:
DOS at the Fermi energy ... 5.577 states/eV per cell
Space group ... No. 122
Total magnetization ... 0.00 μB/atom

Cell: 8.6928 8.6928 8.6928 Å, 143.76 143.76 52.19°
With the nearest neighbours (Å) after each atom.
Sites, in units of the cell vectors:
Rb 0.0000 0.0000 0.0000  8 Rh 3.40-3.81
Rb 0.7500 0.2500 0.5000  8 Rh 3.40-3.81
Os 0.2500 0.7500 0.5000  4 Rh 2.39
Os 0.5000 0.5000 0.0000  4 Rh 2.39
Rh 0.3249 0.6250 0.1999  2 Os 2.39
Rh 0.3750 0.5749 0.6999  2 Os 2.39
Rh 0.4251 0.1250 0.8001  2 Os 2.39
Rh 0.8750 0.6751 0.3001  2 Os 2.39

Unit: meV/atom. Relative energies: <1> 323; <2> 0.

<1>
Here is an optimized crystal structure of Rb2OsRu from Alexandria. Energies are from GGA-PBE.

Computed properties:
DOS at the Fermi energy ... 12.853 states/eV per cell
Space group ... No. 122
Total magnetization ... 0.65 μB/atom

Cell: 9.4407 9.4407 9.4407 Å, 93.44 93.44 151.62°
With the nearest neighbours (Å) after each atom.
Sites, in units of the cell vectors:
Rb 0.3750 0.1835 0.3085  2 Ru 3.37, 2 Os 3.75
Rb 0.8165 0.1250 0.1915  2 Ru 3.37, 2 Os 3.75
Rb 0.8750 0.0665 0.6915  2 Ru 3.37, 2 Os 3.75
Rb 0.9335 0.6250 0.8085  2 Ru 3.37, 2 Os 3.75
Os 0.2500 0.7500 0.5000  2 Ru 2.31
Os 0.5000 0.5000 0.0000  2 Ru 2.31
Ru 0.0000 0.0000 0.0000  2 Os 2.31
Ru 0.7500 0.2500 0.5000  2 Os 2.31

<2>
Here is an optimized crystal structure of Rb2OsRu from Alexandria. Energies are from GGA-PBE.

Computed properties:
DOS at the Fermi energy ... 6.976 states/eV per cell
Space group ... No. 225
Total magnetization ... 1.19 μB/atom

Cell: 5.5355 5.5355 5.5355 Å, 60.00 60.00 60.00°
With the nearest neighbours (Å) after each atom.
Sites, in units of the cell vectors:
Rb 0.2500 0.2500 0.2500  4 Os 3.39, 4 Ru 3.39
Rb 0.7500 0.7500 0.7500  4 Ru 3.39, 4 Os 3.39
Os 0.0000 0.0000 0.0000  8 Rb 3.39
Ru 0.5000 0.5000 0.5000  8 Rb 3.39

Unit: meV/atom. Relative energies: <1> 0; <2> 1048.

<1>
Here is an optimized crystal structure of RbOsRu2 from Alexandria. Energies are from GGA-PBE.

Computed properties:
DOS at the Fermi energy ... 18.181 states/eV per cell
Space group ... No. 122
Total magnetization ... 0.00 μB/atom

Cell: 6.2207 6.2207 6.2207 Å, 106.26 106.26 116.10°
With the nearest neighbours (Å) after each atom.
Sites, in units of the cell vectors:
Rb 0.0000 0.0000 0.0000  8 Ru 3.22-3.33, 2 Os 3.29
Rb 0.7500 0.2500 0.5000  8 Ru 3.22-3.33, 2 Os 3.29
Os 0.2500 0.7500 0.5000  4 Ru 2.39
Os 0.5000 0.5000 0.0000  4 Ru 2.39
Ru 0.2092 0.6250 0.0842  2 Os 2.39
Ru 0.3750 0.4592 0.5842  2 Os 2.39
Ru 0.5408 0.1250 0.9158  2 Os 2.39
Ru 0.8750 0.7908 0.4158  2 Os 2.39

<2>
Here is an optimized crystal structure of RbOsRu2 from Alexandria. Energies are from GGA-PBE.

Computed properties:
DOS at the Fermi energy ... 4.293 states/eV per cell
Space group ... No. 225
Total magnetization ... 0.31 μB/atom

Cell: 4.5963 4.5963 4.5963 Å, 60.00 60.00 60.00°
With the nearest neighbours (Å) after each atom.
Sites, in units of the cell vectors:
Rb 0.0000 0.0000 0.0000  8 Ru 2.81
Os 0.5000 0.5000 0.5000  8 Ru 2.81
Ru 0.2500 0.2500 0.2500  4 Os 2.81, 4 Rb 2.81
Ru 0.7500 0.7500 0.7500  4 Os 2.81, 4 Rb 2.81

Unit: meV/atom. Relative energies: <1> 0; <2> 249.